First-principles (PBE) data for an optimized crystal structure of Na2NiP2, as listed in Alexandria.

Calculated values
Energy   -42.3 eV per cell
Formation energy from the elements   -0.38 eV per atom

abc: 5.884 5.884 4.790
angles: 90.00 90.00 90.00
Element x y z (fractional)
Na1 0.324 0.176 0.500
Na2 0.824 0.324 0.500
Na3 0.676 0.824 0.500
Na4 0.176 0.676 0.500
P1 0.637 0.137 0.000
P2 0.363 0.863 0.000
P3 0.137 0.363 0.000
P4 0.863 0.637 0.000
Ni1 0.000 0.000 0.000
Ni2 0.500 0.500 0.000